No. 1
# Y3Au | the Alexandria database | GGA-PBE | optimized geometry
data_Y3Au
_chemical_formula_sum 'Y24 Au8'
_cell_length_a 12.0969
_cell_length_b 12.0969
_cell_length_c 6.1944
_cell_angle_alpha 90.00
_cell_angle_beta 90.00
_cell_angle_gamma 90.00
_symmetry_space_group_name_H-M 'I -4'
_symmetry_Int_Tables_number 82
_symmetry_space_group_name_Hall 'I -4'
loop_
_atom_site_label
_atom_site_type_symbol
_atom_site_fract_x
_atom_site_fract_y
_atom_site_fract_z
Y1 Y 0.9996 0.1436 0.2503
Y2 Y 0.0957 0.4037 0.4923
Y3 Y 0.2020 0.2972 0.9761
Au1 Au 0.0006 0.7921 0.7503
# - total magnetization (μB per cell) = 0.01
# - formation energy from the elements (eV/atom) = -0.396
# - E_tot (eV per atom) = -6.063



No. 2
# Y3Au4 | the Alexandria database | GGA-PBE | optimized geometry
data_Y3Au4
_chemical_formula_sum 'Y3 Au4'
_cell_length_a 6.4211
_cell_length_b 6.4211
_cell_length_c 5.0248
_cell_angle_alpha 90.00
_cell_angle_beta 90.00
_cell_angle_gamma 120.00
_symmetry_space_group_name_H-M 'P 6/m m m'
_symmetry_Int_Tables_number 191
_symmetry_space_group_name_Hall '-P 6 2'
loop_
_atom_site_label
_atom_site_type_symbol
_atom_site_fract_x
_atom_site_fract_y
_atom_site_fract_z
Y1 Y 0.0000 0.5000 0.0000
Au1 Au 0.0000 0.0000 0.2517
Au2 Au 0.3333 0.6667 0.5000
# - total magnetization (μB per cell) = 0.00
# - ΔE to the lowest computed polymorph (meV/atom) = 486
# - formation energy from the elements (eV/atom) = -0.258
# - E_tot (eV per atom) = -4.901